Compound: Cr2AgO6
Source: the Alexandria database
Functional: PBE+U
Structure: relaxed

Calculated values
- Uncorrected energy: -6.28 eV per atom
- Spin magnetization: 1.0 μB per formula unit
- Symmetry: P-1, No. 2

a b c (Å): 5.708 7.351 7.355
angles (deg): 84.58 76.78 76.26
Last column: magnetic moment on the atom in μB.
Atoms (fractional coordinates):
Ag: 0.248 0.106 0.897  -0.05
Ag: 0.752 0.894 0.103  -0.05
O: 0.950 0.361 0.349  -0.01
O: 0.200 0.099 0.596  -0.11
O: 0.452 0.353 0.354  -0.01
O: 0.168 0.780 0.938  -0.01
O: 0.333 0.056 0.204  -0.11
O: 0.800 0.901 0.404  -0.11
O: 0.050 0.639 0.651  -0.01
O: 0.832 0.220 0.062  -0.01
O: 0.306 0.412 0.888  0.02
O: 0.667 0.944 0.796  -0.11
O: 0.549 0.647 0.646  -0.01
O: 0.694 0.588 0.113  0.02
Cr: 0.764 0.805 0.616  1.20
Cr: 0.270 0.619 0.783  0.09
Cr: 0.730 0.382 0.217  0.09
Cr: 0.236 0.195 0.384  1.20